1.
## La2MoIr (PBEsol)

Data for a relaxed structure of La2MoIr.

Calculated values
* excess energy over the best structure of this formula in the dataset: 456 meV per atom
* volume: 81.9 Å³/cell
* space-group type: No. 12

The structure in CIF format:
```
data_La2MoIr
_chemical_formula_sum 'La2 Mo1 Ir1'
_symmetry_space_group_name_H-M 'P 1'
_symmetry_Int_Tables_number 1
_cell_length_a 5.1984
_cell_length_b 5.1984
_cell_length_c 5.4831
_cell_angle_alpha 94.92
_cell_angle_beta 94.92
_cell_angle_gamma 33.71
loop_
_symmetry_equiv_pos_as_xyz
'x,y,z'
loop_
_atom_site_label
_atom_site_type_symbol
_atom_site_fract_x
_atom_site_fract_y
_atom_site_fract_z
_atom_site_occupancy
La1 La 0.2469 0.2469 0.2585 1
La2 La 0.7531 0.7531 0.7415 1
Mo1 Mo 0.0000 0.0000 0.0000 1
Ir1 Ir 0.5000 0.5000 0.5000 1
```

2.
## LaMoIr2 (PBEsol)

Data for a relaxed structure of LaMoIr2.

Calculated values
* excess energy over the best structure of this formula in the dataset: 0 meV per atom
* volume: 69.7 Å³/cell
* space-group type: No. 123

The structure in CIF format:
```
data_LaMoIr2
_chemical_formula_sum 'La1 Mo1 Ir2'
_symmetry_space_group_name_H-M 'P 1'
_symmetry_Int_Tables_number 1
_cell_length_a 2.9500
_cell_length_b 2.9500
_cell_length_c 8.0094
_cell_angle_alpha 90.00
_cell_angle_beta 90.00
_cell_angle_gamma 90.00
loop_
_symmetry_equiv_pos_as_xyz
'x,y,z'
loop_
_atom_site_label
_atom_site_type_symbol
_atom_site_fract_x
_atom_site_fract_y
_atom_site_fract_z
_atom_site_occupancy
La1 La 0.0000 0.0000 0.0000 1
Mo1 Mo 0.0000 0.0000 0.5000 1
Ir1 Ir 0.5000 0.5000 0.2914 1
Ir2 Ir 0.5000 0.5000 0.7086 1
```

3.
## LaMo4Ir (PBEsol)

Data for a relaxed structure of LaMo4Ir.

Calculated values
* E_tot: -9.89 eV/atom
* volume: 106.0 Å³/cell
* space-group type: No. 216

The structure in CIF format:
```
data_LaMo4Ir
_chemical_formula_sum 'La1 Mo4 Ir1'
_symmetry_space_group_name_H-M 'P 1'
_symmetry_Int_Tables_number 1
_cell_length_a 5.3126
_cell_length_b 5.3126
_cell_length_c 5.3126
_cell_angle_alpha 60.00
_cell_angle_beta 60.00
_cell_angle_gamma 60.00
loop_
_symmetry_equiv_pos_as_xyz
'x,y,z'
loop_
_atom_site_label
_atom_site_type_symbol
_atom_site_fract_x
_atom_site_fract_y
_atom_site_fract_z
_atom_site_occupancy
La1 La 0.0000 0.0000 0.0000 1
Mo1 Mo 0.3744 0.3744 0.3744 1
Mo2 Mo 0.3744 0.3744 0.8769 1
Mo3 Mo 0.3744 0.8769 0.3744 1
Mo4 Mo 0.8769 0.3744 0.3744 1
Ir1 Ir 0.7500 0.7500 0.7500 1
```

4.
## La2MoIr (PBEsol)

Data for a relaxed structure of La2MoIr.

Calculated values
* excess energy over the best structure of this formula in the dataset: 0 meV per atom
* volume: 114.0 Å³/cell
* space-group type: No. 160

The structure in CIF format:
```
data_La2MoIr
_chemical_formula_sum 'La2 Mo1 Ir1'
_symmetry_space_group_name_H-M 'P 1'
_symmetry_Int_Tables_number 1
_cell_length_a 7.9349
_cell_length_b 7.9349
_cell_length_c 7.9349
_cell_angle_alpha 30.49
_cell_angle_beta 30.49
_cell_angle_gamma 30.49
loop_
_symmetry_equiv_pos_as_xyz
'x,y,z'
loop_
_atom_site_label
_atom_site_type_symbol
_atom_site_fract_x
_atom_site_fract_y
_atom_site_fract_z
_atom_site_occupancy
La1 La 0.0000 0.0000 0.0000 1
La2 La 0.1832 0.1832 0.1832 1
Mo1 Mo 0.7463 0.7463 0.7463 1
Ir1 Ir 0.4380 0.4380 0.4380 1
```

5.
## La2MoIr (PBEsol)

Data for a relaxed structure of La2MoIr.

Calculated values
* excess energy over the best structure of this formula in the dataset: 268 meV per atom
* volume: 88.1 Å³/cell
* space-group type: No. 225

The structure in CIF format:
```
data_La2MoIr
_chemical_formula_sum 'La2 Mo1 Ir1'
_symmetry_space_group_name_H-M 'P 1'
_symmetry_Int_Tables_number 1
_cell_length_a 4.9953
_cell_length_b 4.9953
_cell_length_c 4.9953
_cell_angle_alpha 60.00
_cell_angle_beta 60.00
_cell_angle_gamma 60.00
loop_
_symmetry_equiv_pos_as_xyz
'x,y,z'
loop_
_atom_site_label
_atom_site_type_symbol
_atom_site_fract_x
_atom_site_fract_y
_atom_site_fract_z
_atom_site_occupancy
La1 La 0.2500 0.2500 0.2500 1
La2 La 0.7500 0.7500 0.7500 1
Mo1 Mo 0.0000 0.0000 0.0000 1
Ir1 Ir 0.5000 0.5000 0.5000 1
```

6.
## La2MoIr (PBEsol)

Data for a relaxed structure of La2MoIr.

Calculated values
* excess energy over the best structure of this formula in the dataset: 82 meV per atom
* volume: 91.9 Å³/cell
* space-group type: No. 99

The structure in CIF format:
```
data_La2MoIr
_chemical_formula_sum 'La2 Mo1 Ir1'
_symmetry_space_group_name_H-M 'P 1'
_symmetry_Int_Tables_number 1
_cell_length_a 3.1300
_cell_length_b 3.1300
_cell_length_c 9.3766
_cell_angle_alpha 90.00
_cell_angle_beta 90.00
_cell_angle_gamma 90.00
loop_
_symmetry_equiv_pos_as_xyz
'x,y,z'
loop_
_atom_site_label
_atom_site_type_symbol
_atom_site_fract_x
_atom_site_fract_y
_atom_site_fract_z
_atom_site_occupancy
La1 La 0.0000 0.0000 0.0000 1
La2 La 0.5000 0.5000 0.3680 1
Mo1 Mo 0.0000 0.0000 0.6121 1
Ir1 Ir 0.5000 0.5000 0.7571 1
```

7.
## LaMoIr2 (PBEsol)

Data for a relaxed structure of LaMoIr2.

Calculated values
* excess energy over the best structure of this formula in the dataset: 276 meV per atom
* volume: 72.2 Å³/cell
* space-group type: No. 8

The structure in CIF format:
```
data_LaMoIr2
_chemical_formula_sum 'La1 Mo1 Ir2'
_symmetry_space_group_name_H-M 'P 1'
_symmetry_Int_Tables_number 1
_cell_length_a 5.0197
_cell_length_b 5.0197
_cell_length_c 5.1825
_cell_angle_alpha 97.16
_cell_angle_beta 97.16
_cell_angle_gamma 33.92
loop_
_symmetry_equiv_pos_as_xyz
'x,y,z'
loop_
_atom_site_label
_atom_site_type_symbol
_atom_site_fract_x
_atom_site_fract_y
_atom_site_fract_z
_atom_site_occupancy
La1 La 0.0000 0.0000 0.0000 1
Mo1 Mo 0.2118 0.2118 0.6418 1
Ir1 Ir 0.4860 0.4860 0.5073 1
Ir2 Ir 0.7589 0.7589 0.2440 1
```

8.
## LaIrPdN2 (PBEsol)

Data for a relaxed structure of LaIrPdN2.

Calculated values
* formation energy from raw total energies: 0.05 eV/atom
* volume: 77.1 Å³/cell
* space-group type: No. 123

The structure in CIF format:
```
data_LaIrPdN2
_chemical_formula_sum 'La1 Ir1 Pd1 N2'
_symmetry_space_group_name_H-M 'P 1'
_symmetry_Int_Tables_number 1
_cell_length_a 3.8894
_cell_length_b 3.8894
_cell_length_c 5.0940
_cell_angle_alpha 90.00
_cell_angle_beta 90.00
_cell_angle_gamma 90.00
loop_
_symmetry_equiv_pos_as_xyz
'x,y,z'
loop_
_atom_site_label
_atom_site_type_symbol
_atom_site_fract_x
_atom_site_fract_y
_atom_site_fract_z
_atom_site_occupancy
La1 La 0.0000 0.0000 0.0000 1
Ir1 Ir 0.5000 0.5000 0.5000 1
Pd1 Pd 0.5000 0.5000 0.0000 1
N1 N 0.0000 0.5000 0.5000 1
N2 N 0.5000 0.0000 0.5000 1
```